1.
Density functional theory data (PBE) for a geometry-optimized Tb2YHoTm5 structure.

Unit cell a=8.7114 b=8.7114 c=9.6482 alpha=116.84 beta=116.84 gamma=90.00
Closest atoms and distances in Å follow each position.
Sites, in units of the cell vectors:
Tb  0.1148  0.3852  0.0000  1 Tb 2.83, 2 Tm 2.98
Tb  0.6148  0.1148  0.0000  1 Tb 2.83, 2 Tm 2.98
Tb  0.3852  0.8852  0.0000  1 Tb 2.83, 2 Tm 2.98
Tb  0.8852  0.6148  0.0000  1 Tb 2.83, 2 Tm 2.98
Y  0.2500  0.2500  0.5000  10 Tm 3.56-3.71
Y  0.7500  0.7500  0.5000  10 Tm 3.56-3.71
Ho  0.2500  0.7500  0.5000  4 Tm 3.07
Ho  0.7500  0.2500  0.5000  4 Tm 3.07
Tm  0.9283  0.4283  0.2704  1 Tb 2.98, 1 Ho 3.07
Tm  0.6579  0.1579  0.7296  1 Tb 2.98, 1 Ho 3.07
Tm  0.0717  0.5717  0.7296  1 Tb 2.98, 1 Ho 3.07
Tm  0.1579  0.0717  0.7296  1 Tb 2.98, 1 Ho 3.07
Tm  0.5717  0.6579  0.7296  1 Tb 2.98, 1 Ho 3.07
Tm  0.8421  0.9283  0.2704  1 Tb 2.98, 1 Ho 3.07
Tm  0.4283  0.3421  0.2704  1 Tb 2.98, 1 Ho 3.07
Tm  0.3421  0.8421  0.2704  1 Tb 2.98, 1 Ho 3.07
Tm  0.5000  0.5000  0.0000  4 Tb 3.50, 2 Y 3.71, 8 Tm 3.71
Tm  0.0000  0.0000  0.0000  4 Tb 3.50, 2 Y 3.71, 8 Tm 3.71

Results
- Total DFT energy (no corrections): -80.04 eV/cell
- V: 563.5 Å³ per cell
- Symmetry: No. 140
- Energy relative to the elements: 0.2934 eV per atom
- DOS(E_F): 11.1 states/eV/f.u.

***

2.
Density functional theory data (PBE) for a geometry-optimized Tb2Y2Ho4Tm structure.

Unit cell a=3.5711 b=9.4445 c=9.4834 alpha=115.27 beta=90.00 gamma=100.90
Closest atoms and distances in Å follow each position.
Sites, in units of the cell vectors:
Tb  0.3340  0.6680  0.9990  3 Ho 3.51, 3 Y 3.53-3.54, 2 Tm 3.56, 4 Tb 3.57-3.60
Tb  0.6660  0.3320  0.0010  3 Ho 3.51, 3 Y 3.53-3.54, 2 Tm 3.56, 4 Tb 3.57-3.60
Y  0.8526  0.7052  0.3350  7 Ho 3.50-3.58, 3 Tb 3.53-3.54, 2 Y 3.57
Y  0.1474  0.2948  0.6650  7 Ho 3.50-3.58, 3 Tb 3.53-3.54, 2 Y 3.57
Ho  0.8151  0.6302  0.6657  3 Y 3.50-3.58, 6 Ho 3.51-3.57, 2 Tb 3.51, 1 Tm 3.52
Ho  0.1849  0.3698  0.3343  3 Y 3.50-3.58, 6 Ho 3.51-3.57, 2 Tb 3.51, 1 Tm 3.52
Ho  0.5187  0.0375  0.3325  4 Y 3.50-3.57, 2 Tm 3.51, 1 Tb 3.51, 5 Ho 3.53-3.57
Ho  0.4813  0.9625  0.6675  4 Y 3.50-3.57, 2 Tm 3.51, 1 Tb 3.51, 5 Ho 3.53-3.57
Tm  0.0000  0.0000  0.0000  6 Ho 3.51-3.52, 4 Tb 3.56, 2 Tm 3.57

Results
- Total DFT energy (no corrections): -44.97 eV/cell
- V: 282.9 Å³ per cell
- Symmetry: No. 12
- Energy relative to the elements: 0.0003 eV per atom
- DOS(E_F): 12.1 states/eV/f.u.

***

| no. | total magnetic moment (Bohr magnetons per cell) |
| --- | --- |
| 1 | 0.00 |
| 2 | 0.00 |